Entry from Alexandria: an optimized crystal structure of ScVTcRu2 (GGA-PBE).

Properties
size of the total moment	1.1	μB per formula unit
ΔE_f	1682	meV per atom

Cell lengths 4.492, 4.492, 4.397 Å; angles 90.00, 90.00, 90.00 degrees
Positions (direct):
Sc (0.000, 0.000, 0.000)
V (0.000, 0.000, 0.500)
Tc (0.500, 0.500, 0.500)
Ru (0.000, 0.500, 0.000)
Ru (0.500, 0.000, 0.000)

Entry from Alexandria: an optimized crystal structure of Sc2TcRuW (GGA-PBE).

Properties
size of the total moment	0.8	μB per formula unit
ΔE_f	1312	meV per atom

Cell lengths 4.988, 4.988, 4.551 Å; angles 90.00, 90.00, 90.00 degrees
Positions (direct):
Sc (0.000, 0.500, 0.000)
Sc (0.500, 0.000, 0.000)
Tc (0.000, 0.000, 0.500)
Ru (0.500, 0.500, 0.500)
W (0.000, 0.000, 0.000)